No. 1
# K5Al, PBEsol geometry, DFT SCAN
# Calculated formation energy (eV per atom): 0.199
# Energy above the most stable polymorph in this dataset (meV per atom): 0
# Space-group type: P4/mmm
data_K5Al
_chemical_formula_sum 'K5 Al1'
_cell_length_a 4.331
_cell_length_b 4.331
_cell_length_c 17.752
_cell_angle_alpha 90.00
_cell_angle_beta 90.00
_cell_angle_gamma 90.00
_space_group_name_H-M_alt 'P 1'
_space_group_IT_number 1
_space_group_name_Hall 'P 1'
loop_
_atom_site_label
_atom_site_type_symbol
_atom_site_fract_x
_atom_site_fract_y
_atom_site_fract_z
K1 K 0.000 0.000 0.000
K2 K 0.000 0.000 0.391
K3 K 0.000 0.000 0.609
K4 K 0.500 0.500 0.200
K5 K 0.500 0.500 0.800
Al1 Al 0.500 0.500 0.500

---

No. 2
# CaInPb2, PBEsol geometry, DFT SCAN
# Calculated formation energy (eV per atom): -0.355
# Space-group type: Cmmm
data_CaInPb2
_chemical_formula_sum 'Ca1 In1 Pb2'
_cell_length_a 5.634
_cell_length_b 5.634
_cell_length_c 3.624
_cell_angle_alpha 90.00
_cell_angle_beta 90.00
_cell_angle_gamma 104.44
_space_group_name_H-M_alt 'P 1'
_space_group_IT_number 1
_space_group_name_Hall 'P 1'
loop_
_atom_site_label
_atom_site_type_symbol
_atom_site_fract_x
_atom_site_fract_y
_atom_site_fract_z
Ca1 Ca 0.000 0.000 0.000
In1 In 0.500 0.500 0.000
Pb1 Pb 0.000 0.500 0.500
Pb2 Pb 0.500 0.000 0.500

---

No. 3
# KMgAl, PBEsol geometry, DFT SCAN
# Calculated formation energy (eV per atom): 0.564
# Energy above the most stable polymorph in this dataset (meV per atom): 361
# Space-group type: F-43m
data_KMgAl
_chemical_formula_sum 'K1 Mg1 Al1'
_cell_length_a 5.202
_cell_length_b 5.202
_cell_length_c 5.202
_cell_angle_alpha 60.00
_cell_angle_beta 60.00
_cell_angle_gamma 60.00
_space_group_name_H-M_alt 'P 1'
_space_group_IT_number 1
_space_group_name_Hall 'P 1'
loop_
_atom_site_label
_atom_site_type_symbol
_atom_site_fract_x
_atom_site_fract_y
_atom_site_fract_z
K1 K 0.000 0.000 0.000
Mg1 Mg 0.750 0.750 0.750
Al1 Al 0.500 0.500 0.500

---

No. 4
# ScP2Rh, PBEsol geometry, DFT SCAN
# Calculated formation energy (eV per atom): -0.782
# Energy above the most stable polymorph in this dataset (meV per atom): 129
# Space-group type: Pm
data_ScP2Rh
_chemical_formula_sum 'Sc1 P2 Rh1'
_cell_length_a 3.573
_cell_length_b 4.709
_cell_length_c 3.710
_cell_angle_alpha 90.00
_cell_angle_beta 90.73
_cell_angle_gamma 90.00
_space_group_name_H-M_alt 'P 1'
_space_group_IT_number 1
_space_group_name_Hall 'P 1'
loop_
_atom_site_label
_atom_site_type_symbol
_atom_site_fract_x
_atom_site_fract_y
_atom_site_fract_z
Sc1 Sc 0.000 0.000 0.000
P1 P 0.254 0.500 0.916
P2 P 0.516 0.000 0.497
Rh1 Rh 0.745 0.500 0.503

---

No. 5
# Ba3SiPd, PBEsol geometry, DFT SCAN
# Space-group type: Pm-3m
# Formation energy from raw total energies (eV per atom): 0.140
data_Ba3SiPd
_chemical_formula_sum 'Ba3 Si1 Pd1'
_cell_length_a 6.160
_cell_length_b 6.160
_cell_length_c 6.160
_cell_angle_alpha 90.00
_cell_angle_beta 90.00
_cell_angle_gamma 90.00
_space_group_name_H-M_alt 'P 1'
_space_group_IT_number 1
_space_group_name_Hall 'P 1'
loop_
_atom_site_label
_atom_site_type_symbol
_atom_site_fract_x
_atom_site_fract_y
_atom_site_fract_z
Ba1 Ba 0.000 0.000 0.500
Ba2 Ba 0.000 0.500 0.000
Ba3 Ba 0.500 0.000 0.000
Si1 Si 0.000 0.000 0.000
Pd1 Pd 0.500 0.500 0.500

---

No. 6
# NiOsRh2, PBEsol geometry, DFT SCAN
# Calculated formation energy (eV per atom): 0.358
# Energy above the most stable polymorph in this dataset (meV per atom): 311
# Space-group type: Cmmm
data_NiOsRh2
_chemical_formula_sum 'Ni1 Os1 Rh2'
_cell_length_a 2.620
_cell_length_b 2.620
_cell_length_c 8.883
_cell_angle_alpha 90.00
_cell_angle_beta 90.00
_cell_angle_gamma 118.90
_space_group_name_H-M_alt 'P 1'
_space_group_IT_number 1
_space_group_name_Hall 'P 1'
loop_
_atom_site_label
_atom_site_type_symbol
_atom_site_fract_x
_atom_site_fract_y
_atom_site_fract_z
Ni1 Ni 0.000 0.000 0.000
Os1 Os 0.000 0.000 0.500
Rh1 Rh 0.500 0.500 0.242
Rh2 Rh 0.500 0.500 0.758

---

- Number 4 is which compound?
  ScP2Rh